[1]
Entry from the Alexandria database: RbAsPt2 after structural relaxation (GGA-PBE).

Computed properties:
Total magnetic moment ... 0.00 μB/atom
Excess energy over the best structure of this formula in the dataset ... 272 meV per atom
Fermi-level density of states ... 0.7285 states/eV/atom
VASP energy ... -4.55 eV/atom

```
RbAsPt2
1.0
4.540 0.000 0.000
-2.270 3.932 0.000
0.000 0.000 20.356
Rb As Pt
3 3 6
Cartesian
0.000 0.000 0.000 Rb
0.000 2.621 13.571 Rb
2.270 1.311 6.785 Rb
0.000 0.000 10.178 As
0.000 2.621 3.393 As
2.270 1.311 16.963 As
0.000 0.000 3.152 Pt
0.000 0.000 17.204 Pt
0.000 2.621 10.419 Pt
0.000 2.621 16.722 Pt
2.270 1.311 3.634 Pt
2.270 1.311 9.937 Pt
```


[2]
Entry from the Alexandria database: ScIr2Br after structural relaxation (GGA-PBE).

Computed properties:
Total magnetic moment ... 0.00 μB/atom
Excess energy over the best structure of this formula in the dataset ... 242 meV per atom
Fermi-level density of states ... 0.9443 states/eV/atom
E_form (uncorrected) ... -1.36 kcal/mol of atoms
VASP energy ... -6.49 eV/atom

```
ScIr2Br
1.0
3.010 0.000 0.000
0.000 4.682 0.000
0.000 0.000 9.520
Sc Ir Br
2 4 2
Cartesian
0.000 0.000 0.000 Sc
1.505 2.341 4.760 Sc
0.000 2.341 2.314 Ir
0.000 2.341 7.206 Ir
1.505 0.000 2.446 Ir
1.505 0.000 7.074 Ir
0.000 0.000 4.760 Br
1.505 2.341 0.000 Br
```


[3]
Entry from the Alexandria database: La3HgN after structural relaxation (GGA-PBE).

Computed properties:
Total magnetic moment ... 0.00 μB/atom
Fermi-level density of states ... 1.1772 states/eV/atom
E_form (uncorrected) ... 13.38 kcal/mol of atoms
VASP energy ... -4.10 eV/atom

```
La3HgN
1.0
-2.685 2.685 12.574
2.685 -2.685 12.574
2.685 2.685 -12.574
La Hg N
6 2 2
Cartesian
0.000 0.000 4.873 La
1.372 2.685 -3.101 La
1.313 0.000 9.472 La
2.685 1.372 3.101 La
0.000 0.000 20.274 La
0.000 1.313 15.675 La
2.685 0.000 6.287 Hg
0.000 0.000 12.574 Hg
0.000 2.685 3.790 N
0.000 2.685 8.783 N
```


[4]
Entry from the Alexandria database: Tb2SmEr4Mg after structural relaxation (GGA-PBE).

Computed properties:
Total magnetic moment ... 0.00 μB/atom
Fermi-level density of states ... 1.4593 states/eV/atom
VASP energy ... -4.20 eV/atom

```
Tb2SmEr4Mg
1.0
4.932 0.000 0.000
0.000 4.932 0.000
0.000 0.000 10.018
Tb Sm Er Mg
2 1 4 1
Cartesian
0.000 0.000 0.000 Tb
2.466 2.466 5.009 Tb
0.000 0.000 5.009 Sm
0.000 2.466 2.474 Er
0.000 2.466 7.544 Er
2.466 0.000 2.474 Er
2.466 0.000 7.544 Er
2.466 2.466 0.000 Mg
```


[5]
Entry from the Alexandria database: SnAuI2O after structural relaxation (GGA-PBE).

Computed properties:
Total magnetic moment ... 0.00 μB/atom
Excess energy over the best structure of this formula in the dataset ... 176 meV per atom
Fermi-level density of states ... 0.9681 states/eV/atom
E_form (uncorrected) ... 2.95 kcal/mol of atoms
VASP energy ... -2.94 eV/atom

```
SnAuI2O
1.0
5.897 0.000 0.000
0.000 5.897 0.000
0.000 0.000 4.016
Sn Au I O
1 1 2 1
Cartesian
0.000 0.000 0.000 Sn
2.949 2.949 2.008 Au
0.000 2.949 2.008 I
2.949 0.000 2.008 I
2.949 2.949 0.000 O
```


[6]
Entry from the Alexandria database: Nd4MgCd2 after structural relaxation (GGA-PBE).

Computed properties:
Total magnetic moment ... 0.00 μB/atom
Excess energy over the best structure of this formula in the dataset ... 41 meV per atom
Fermi-level density of states ... 1.0600 states/eV/atom
VASP energy ... -3.26 eV/atom

```
Nd4MgCd2
1.0
7.738 0.000 0.000
0.000 6.485 0.000
-3.461 0.000 8.495
Nd Mg Cd
8 2 4
Cartesian
-1.204 1.621 3.525 Nd
0.029 4.864 2.339 Nd
0.396 0.100 6.573 Nd
0.396 3.142 6.573 Nd
3.880 3.343 1.922 Nd
3.880 6.385 1.922 Nd
4.247 1.621 6.157 Nd
5.480 4.864 4.971 Nd
1.247 1.621 0.801 Mg
3.029 4.864 7.695 Mg
-1.764 4.864 8.210 Cd
1.920 1.621 3.885 Cd
2.356 4.864 4.611 Cd
6.041 1.621 0.286 Cd
```


[7]
Entry from the Alexandria database: TlCdBi2 after structural relaxation (GGA-PBE).

Computed properties:
Total magnetic moment ... 0.00 μB/atom
Excess energy over the best structure of this formula in the dataset ... 63 meV per atom
Fermi-level density of states ... 0.5315 states/eV/atom
VASP energy ... -2.66 eV/atom

```
TlCdBi2
1.0
7.803 0.000 0.000
0.000 7.803 0.000
0.000 0.000 7.803
Tl Cd Bi
4 4 8
Cartesian
0.000 0.000 0.000 Tl
0.000 3.902 3.902 Tl
3.902 0.000 3.902 Tl
3.902 3.902 0.000 Tl
0.000 0.000 3.902 Cd
0.000 3.902 0.000 Cd
3.902 0.000 0.000 Cd
3.902 3.902 3.902 Cd
1.951 1.951 1.951 Bi
1.951 1.951 5.853 Bi
1.951 5.853 1.951 Bi
1.951 5.853 5.853 Bi
5.853 1.951 1.951 Bi
5.853 1.951 5.853 Bi
5.853 5.853 1.951 Bi
5.853 5.853 5.853 Bi
```


[8]
Entry from the Alexandria database: NaScCu2 after structural relaxation (GGA-PBE).

Computed properties:
Total magnetic moment ... 0.00 μB/atom
Excess energy over the best structure of this formula in the dataset ... 269 meV per atom
Fermi-level density of states ... 0.7146 states/eV/atom
VASP energy ... -3.55 eV/atom

```
NaScCu2
1.0
7.349 0.000 0.000
0.000 7.349 0.000
0.000 0.000 5.595
Na Sc Cu
4 4 8
Cartesian
0.000 0.000 0.000 Na
0.000 3.674 1.399 Na
3.674 0.000 4.196 Na
3.674 3.674 2.797 Na
0.000 0.000 2.797 Sc
0.000 3.674 4.196 Sc
3.674 0.000 1.399 Sc
3.674 3.674 0.000 Sc
1.773 1.837 3.497 Cu
1.837 5.447 4.895 Cu
1.837 5.576 2.098 Cu
1.902 1.837 0.699 Cu
5.447 5.511 0.699 Cu
5.511 1.773 2.098 Cu
5.511 1.902 4.895 Cu
5.576 5.511 3.497 Cu
```


> Which formula does entry 8 have?

NaScCu2